Computed, not measured: a geometry-optimized Fe2HgCl structure at the GGA-PBE level of DFT.

It has space group I-42d (No. 122), with a = 6.7907 Å, b = 6.7907 Å, c = 6.1939 Å, α = 90.00°, β = 90.00° and γ = 90.00°. Symmetry generates all atoms from Fe at (0.2074, 0.2500, 0.1250), Hg at (0.0000, 0.0000, 0.5000) and Cl at (0.0000, 0.0000, 0.0000).

For the density of states at the Fermi level, the calculation gives 4.3 states/eV/f.u. The calculation puts the raw total energy at -67.28 eV per cell. As for the formation energy from raw total energies: 217.5 kJ/mol of formula units.

=====

Computed, not measured: a geometry-optimized NbCd structure at the GGA-PBE level of DFT.

It has space group P6_3/mmc (No. 194), with a = 4.7486 Å, b = 4.7486 Å, c = 5.5408 Å, α = 90.00°, β = 90.00° and γ = 120.00°. Symmetry generates all atoms from Nb at (0.3333, 0.6667, 0.2500) and Cd at (0.3333, 0.6667, 0.7500).

For the formation energy, the calculation gives 1.6176 eV per atom. For the density of states at the Fermi level, the calculation gives 3.9 states/eV/f.u. The calculation puts the raw total energy at -15.50 eV per cell.

=====

Repeat the first record exactly.
Computed, not measured: a geometry-optimized Fe2HgCl structure at the GGA-PBE level of DFT.

It has space group I-42d (No. 122), with a = 6.7907 Å, b = 6.7907 Å, c = 6.1939 Å, α = 90.00°, β = 90.00° and γ = 90.00°. Symmetry generates all atoms from Fe at (0.2074, 0.2500, 0.1250), Hg at (0.0000, 0.0000, 0.5000) and Cl at (0.0000, 0.0000, 0.0000).

For the density of states at the Fermi level, the calculation gives 4.3 states/eV/f.u. The calculation puts the raw total energy at -67.28 eV per cell. As for the formation energy from raw total energies: 217.5 kJ/mol of formula units.

=====

> The lowest raw total energy belongs to which entry?

Fe2HgCl